A crystal of Al2SiPb relaxed with PBEsol, computed with meta-GGA SCAN.

The uncorrected formation energy is 0.500 eV per atom. For the total magnetic moment, the calculation gives 0.000 μB/atom. The energy above the most stable polymorph in this dataset is 3.31 kcal/mol of atoms. Its crystal system is monoclinic.

The structure belongs to space group C2/m (No. 12); the cell edges are 5.780, 10.256 and 3.211 Å and the angles 90.00°, 121.81° and 90.00°. The distinct sites, in fractional coordinates, are Al at (0.250, 0.250, 0.000), Si at (0.000, 0.000, 0.500) and Pb at (0.000, 0.500, 0.500).